# CsGaIr

An optimized crystal structure of CsGaIr (PBE, Alexandria via LeMat-Bulk).

abc: 4.9111 4.8495 11.3510
angles: 90.58 89.58 109.41
Fractional coordinates of all 6 atoms:
1 Ir 0.8145 0.3657 0.9084
2 Ir 0.3142 0.8662 0.9308
3 Cs 0.3085 0.3735 0.1841
4 Cs 0.8157 0.8616 0.6552
5 Ga 0.3148 0.3651 0.8785
6 Ga 0.8138 0.8667 0.9606

## Properties
Offset from the most stable computed form ... 0 meV/atom
Density ... 5.143 g/cm³
Symmetry ... P1
M_tot ... 0.0 μB per formula unit
Energy relative to the elements ... -0.120 eV per atom